Record 1
# GGA-PBEsol FeCoW3, relaxed
# ΔH_f (0 K) = 1615 meV/atom
# total magnetization = 0.255 μB per atom
# N(E_F) = 6.7 states/eV/f.u.
data_FeCoW3
_chemical_formula_sum 'Fe1 Co1 W3'
_symmetry_space_group_name_H-M 'P m -3 m'
_symmetry_Int_Tables_number 221
_symmetry_space_group_name_Hall '-P 4 2 3'
_cell_length_a 4.361
_cell_length_b 4.361
_cell_length_c 4.361
_cell_angle_alpha 90.00
_cell_angle_beta 90.00
_cell_angle_gamma 90.00
loop_
_atom_site_label
_atom_site_type_symbol
_atom_site_fract_x
_atom_site_fract_y
_atom_site_fract_z
Fe1 Fe 0.000 0.000 0.000
Co1 Co 0.500 0.500 0.500
W1 W 0.000 0.000 0.500



Record 2
# GGA-PBEsol YFeCo, relaxed
# ΔH_f (0 K) = 361 meV/atom
# total magnetization = 1.128 μB per atom
# N(E_F) = 3.3 states/eV/f.u.
data_YFeCo
_chemical_formula_sum 'Y4 Fe4 Co4'
_symmetry_space_group_name_H-M 'F -4 3 m'
_symmetry_Int_Tables_number 216
_symmetry_space_group_name_Hall 'F -4 2 3'
_cell_length_a 5.979
_cell_length_b 5.979
_cell_length_c 5.979
_cell_angle_alpha 90.00
_cell_angle_beta 90.00
_cell_angle_gamma 90.00
loop_
_atom_site_label
_atom_site_type_symbol
_atom_site_fract_x
_atom_site_fract_y
_atom_site_fract_z
Y1 Y 0.000 0.000 0.000
Fe1 Fe 0.000 0.000 0.500
Co1 Co 0.250 0.250 0.250



Record 3
# GGA-PBEsol YFeCo2, relaxed
# E above lowest polymorph = 0.792 eV/f.u.
# ΔH_f (0 K) = 145 meV/atom
# total magnetization = 1.259 μB per atom
# N(E_F) = 1.7 states/eV/f.u.
data_YFeCo2
_chemical_formula_sum 'Y4 Fe4 Co8'
_symmetry_space_group_name_H-M 'F m -3 m'
_symmetry_Int_Tables_number 225
_symmetry_space_group_name_Hall '-F 4 2 3'
_cell_length_a 6.095
_cell_length_b 6.095
_cell_length_c 6.095
_cell_angle_alpha 90.00
_cell_angle_beta 90.00
_cell_angle_gamma 90.00
loop_
_atom_site_label
_atom_site_type_symbol
_atom_site_fract_x
_atom_site_fract_y
_atom_site_fract_z
Y1 Y 0.000 0.000 0.000
Fe1 Fe 0.000 0.000 0.500
Co1 Co 0.250 0.250 0.250



Record 4
# GGA-PBEsol YFeCo2, relaxed
# E above lowest polymorph = 1.261 eV/f.u.
# ΔH_f (0 K) = 262 meV/atom
# total magnetization = 1.128 μB per atom
# N(E_F) = 4.9 states/eV/f.u.
data_YFeCo2
_chemical_formula_sum 'Y4 Fe4 Co8'
_symmetry_space_group_name_H-M 'F -4 3 m'
_symmetry_Int_Tables_number 216
_symmetry_space_group_name_Hall 'F -4 2 3'
_cell_length_a 6.049
_cell_length_b 6.049
_cell_length_c 6.049
_cell_angle_alpha 90.00
_cell_angle_beta 90.00
_cell_angle_gamma 90.00
loop_
_atom_site_label
_atom_site_type_symbol
_atom_site_fract_x
_atom_site_fract_y
_atom_site_fract_z
Y1 Y 0.000 0.000 0.000
Fe1 Fe 0.250 0.250 0.750
Co1 Co 0.000 0.000 0.500
Co2 Co 0.250 0.250 0.250